The following is a GGA-PBEsol calculation of crystalline HgAsHI2 at its relaxed geometry, from the Alexandria database.

Cell: 5.528 5.528 3.665 Å, 90.00 90.00 90.00°
Space group P4/mmm (No. 123)
Unique sites:
1 Hg 0.000 0.000 0.000 x1
2 As 0.500 0.500 0.000 x1
3 H 0.500 0.500 0.500 x1
4 I 0.000 0.500 0.500 x2

Calculated values
Total moment ... 0.00 μB per cell
Uncorrected energy ... -10.6 eV/cell

The following is a GGA-PBEsol calculation of crystalline CaOs2Au at its relaxed geometry, from the Alexandria database.

Cell: 2.8085 2.8085 28.8254 Å, 90.00 90.00 120.00°
Space group R-3m (No. 166, hexagonal axes)
Unique sites:
1 Ca 0.0000 0.0000 0.0000 x3
2 Os 0.0000 0.0000 0.2463 x6
3 Au 0.0000 0.0000 0.5000 x3

Calculated values
Total moment ... 0.00 μB per cell
Energy of formation from the pure elements ... 0.78 eV per atom
Uncorrected energy ... -82.1 eV/cell
Energy above the most stable polymorph in this dataset ... 288 meV/atom